Entry from Alexandria: a geometry-optimized Tl4Hg2AsAu structure (PBE).

a = 7.1312 Å, b = 4.6591 Å, c = 7.9356 Å
α = 90.00°, β = 112.95°, γ = 90.00°
With the nearest neighbours (Å) after each atom.
Fractional positions:
1 Tl 0.2394 0.0000 0.2149  1 Au 2.97, 2 As 3.00, 3 Hg 3.27-3.32
2 Tl 0.2559 0.5000 0.7875  1 As 2.93, 2 Au 3.00, 2 Hg 3.27
3 Tl 0.7441 0.5000 0.2125  1 As 2.93, 2 Au 3.00, 2 Hg 3.27
4 Tl 0.7606 0.0000 0.7851  1 Au 2.97, 2 As 3.00, 3 Hg 3.27-3.32
5 Hg 0.0000 0.0000 0.5000  6 Tl 3.27-3.32
6 Hg 0.5000 0.5000 0.5000  6 Tl 3.27-3.37
7 As 0.0000 0.5000 0.0000  6 Tl 2.93-3.00
8 Au 0.5000 0.0000 0.0000  6 Tl 2.97-3.00

Properties
Formation energy = -0.006 eV/atom
Crystal system = monoclinic
Total DFT energy (no corrections) = -2.26 eV per atom
Theoretical density = 10.19 Mg/m³